# 1
# K3Pu3FeS8, optimized geometry, DFT PBE
data_K3Pu3FeS8
_cell_length_a 13.690
_cell_length_b 7.938
_cell_length_c 8.734
_cell_angle_alpha 90.00
_cell_angle_beta 121.25
_cell_angle_gamma 90.00
_space_group_name_H-M_alt 'C 1 2/m 1'
_space_group_IT_number 12
loop_
_space_group_symop_operation_xyz
'x,y,z'
'-x,-y,-z'
'-x,y,-z'
'x,-y,z'
'x+1/2,y+1/2,z'
'-x+1/2,-y+1/2,-z'
'-x+1/2,y+1/2,-z'
'x+1/2,-y+1/2,z'
loop_
_atom_site_label
_atom_site_fract_x
_atom_site_fract_y
_atom_site_fract_z
K1 0.000 0.000 0.000
K2 0.250 0.250 0.000
Pu1 0.000 0.500 0.500
Pu2 0.250 0.250 0.500
Fe1 0.000 0.000 0.500
S1 0.016 0.237 0.314
S2 0.221 0.000 0.686
S3 0.235 0.500 0.703
# Energy relative to the elements, uncorrected = -1.26 eV/atom
# Calculated total energy = -213.40 eV for the cell shown
# Crystal system = monoclinic

***

# 2
# TeAs, optimized geometry, DFT PBE
data_TeAs
_cell_length_a 5.215
_cell_length_b 5.215
_cell_length_c 4.748
_cell_angle_alpha 90.00
_cell_angle_beta 90.00
_cell_angle_gamma 90.00
_space_group_name_H-M_alt 'P 4/n m m'
_space_group_IT_number 129
loop_
_space_group_symop_operation_xyz
'x,y,z'
'-x,-y,-z'
'-y+1/2,x,z'
'y+1/2,-x,-z'
'-x+1/2,-y+1/2,z'
'x+1/2,y+1/2,-z'
'y,-x+1/2,z'
'-y,x+1/2,-z'
'x+1/2,-y,-z'
'-x+1/2,y,z'
'-y,-x,-z'
'y,x,z'
'-x,y+1/2,-z'
'x,-y+1/2,z'
'y+1/2,x+1/2,-z'
'-y+1/2,-x+1/2,z'
loop_
_atom_site_label
_atom_site_fract_x
_atom_site_fract_y
_atom_site_fract_z
Te1 0.250 0.250 0.227
As1 0.250 0.750 0.000
# Energy relative to the elements, uncorrected = 0.23 eV/atom
# Calculated total energy = -14.67 eV for the cell shown
# Crystal system = tetragonal

***

# 3
# CsK3Rb12, optimized geometry, DFT PBE
data_CsK3Rb12
_cell_length_a 7.120
_cell_length_b 7.120
_cell_length_c 27.986
_cell_angle_alpha 90.00
_cell_angle_beta 90.00
_cell_angle_gamma 90.00
_space_group_name_H-M_alt 'P 4/m m m'
_space_group_IT_number 123
_space_group_name_Hall '-P 4 2'
loop_
_atom_site_label
_atom_site_fract_x
_atom_site_fract_y
_atom_site_fract_z
Cs1 0.000 0.000 0.000
K1 0.000 0.000 0.256
K2 0.000 0.000 0.500
Rb1 0.000 0.500 0.134
Rb2 0.000 0.500 0.378
Rb3 0.500 0.500 0.000
Rb4 0.500 0.500 0.256
Rb5 0.500 0.500 0.500
# Calculated total energy = -15.69 eV for the cell shown
# Crystal system = tetragonal

***

Q: Which mass density values were calculated for the entries above? A: 4.8, 5.2, 1.5, in g/cm3.